1.
# Zr4CoSi PBE relaxed
data_Zr4CoSi
_chemical_formula_sum 'Zr8 Co2 Si2'
_cell_length_a 6.5478
_cell_length_b 6.5478
_cell_length_c 5.2864
_cell_angle_alpha 90.00
_cell_angle_beta 90.00
_cell_angle_gamma 90.00
_symmetry_space_group_name_H-M 'I 4 2 2'
_symmetry_Int_Tables_number 97
_symmetry_space_group_name_Hall 'I 4 2'
loop_
_atom_site_label
_atom_site_fract_x
_atom_site_fract_y
_atom_site_fract_z
_atom_site_occupancy
Zr1 0.1617 0.3383 0.2500 1
Co1 0.0000 0.0000 0.5000 1
Si1 0.0000 0.0000 0.0000 1
# Formation energy from raw total energies in eV/atom: -0.484
# Theoretical density in g/cm³: 6.62
# VASP energy in eV per atom: -8.271

2.
# ZrCoSi2 PBE relaxed
data_ZrCoSi2
_chemical_formula_sum 'Zr1 Co1 Si2'
_cell_length_a 2.9323
_cell_length_b 2.9323
_cell_length_c 6.5421
_cell_angle_alpha 90.00
_cell_angle_beta 90.00
_cell_angle_gamma 90.00
_symmetry_space_group_name_H-M 'P 4/m m m'
_symmetry_Int_Tables_number 123
_symmetry_space_group_name_Hall '-P 4 2'
loop_
_atom_site_label
_atom_site_fract_x
_atom_site_fract_y
_atom_site_fract_z
_atom_site_occupancy
Zr1 0.0000 0.0000 0.0000 1
Co1 0.0000 0.0000 0.5000 1
Si1 0.5000 0.5000 0.3047 1
# Formation energy from raw total energies in eV/atom: -0.471
# Theoretical density in g/cm³: 6.09
# VASP energy in eV per atom: -7.096

3.
# ZrCoSi2 PBE relaxed
data_ZrCoSi2
_chemical_formula_sum 'Zr1 Co1 Si2'
_cell_length_a 3.8869
_cell_length_b 3.8869
_cell_length_c 3.8036
_cell_angle_alpha 90.00
_cell_angle_beta 90.00
_cell_angle_gamma 90.00
_symmetry_space_group_name_H-M 'P 4/m m m'
_symmetry_Int_Tables_number 123
_symmetry_space_group_name_Hall '-P 4 2'
loop_
_atom_site_label
_atom_site_fract_x
_atom_site_fract_y
_atom_site_fract_z
_atom_site_occupancy
Zr1 0.0000 0.0000 0.0000 1
Co1 0.5000 0.5000 0.0000 1
Si1 0.0000 0.5000 0.5000 1
# Formation energy from raw total energies in eV/atom: -0.385
# Theoretical density in g/cm³: 5.96
# VASP energy in eV per atom: -7.010

4.
# ZrCo2Si PBE relaxed
data_ZrCo2Si
_chemical_formula_sum 'Zr2 Co4 Si2'
_cell_length_a 5.4866
_cell_length_b 8.1473
_cell_length_c 2.8333
_cell_angle_alpha 90.00
_cell_angle_beta 117.42
_cell_angle_gamma 90.00
_symmetry_space_group_name_H-M 'C 1 2/m 1'
_symmetry_Int_Tables_number 12
_symmetry_space_group_name_Hall '-C 2y'
loop_
_atom_site_label
_atom_site_fract_x
_atom_site_fract_y
_atom_site_fract_z
_atom_site_occupancy
Zr1 0.0000 0.0000 0.0000 1
Co1 0.2500 0.2500 0.5000 1
Si1 0.0000 0.5000 0.0000 1
# Formation energy from raw total energies in eV/atom: -0.057
# Theoretical density in g/cm³: 7.01
# VASP energy in eV per atom: -7.103

5.
# Zr4Co4Si7 PBE relaxed
data_Zr4Co4Si7
_chemical_formula_sum 'Zr16 Co16 Si28'
_cell_length_a 12.9586
_cell_length_b 12.9586
_cell_length_c 5.0768
_cell_angle_alpha 90.00
_cell_angle_beta 90.00
_cell_angle_gamma 90.00
_symmetry_space_group_name_H-M 'I 4/m m m'
_symmetry_Int_Tables_number 139
_symmetry_space_group_name_Hall '-I 4 2'
loop_
_atom_site_label
_atom_site_fract_x
_atom_site_fract_y
_atom_site_fract_z
_atom_site_occupancy
Zr1 0.0000 0.1972 0.0000 1
Zr2 0.1378 0.1378 0.5000 1
Co1 0.1474 0.3526 0.2500 1
Si1 0.0000 0.0000 0.2492 1
Si2 0.0000 0.3030 0.5000 1
Si3 0.0000 0.4082 0.0000 1
Si4 0.2113 0.2113 0.0000 1
# Formation energy from raw total energies in eV/atom: -0.822
# Theoretical density in g/cm³: 6.21
# VASP energy in eV per atom: -7.527

6.
# ZrCoSi2 PBE relaxed
data_ZrCoSi2
_chemical_formula_sum 'Zr2 Co2 Si4'
_cell_length_a 8.0287
_cell_length_b 3.1947
_cell_length_c 4.8884
_cell_angle_alpha 90.00
_cell_angle_beta 104.44
_cell_angle_gamma 90.00
_symmetry_space_group_name_H-M 'C 1 m 1'
_symmetry_Int_Tables_number 8
_symmetry_space_group_name_Hall 'C -2y'
loop_
_atom_site_label
_atom_site_fract_x
_atom_site_fract_y
_atom_site_fract_z
_atom_site_occupancy
Zr1 0.0000 0.0000 0.0000 1
Co1 0.2348 0.0000 0.6322 1
Si1 0.0080 0.5000 0.5080 1
Si2 0.2628 0.5000 0.3144 1
# Formation energy from raw total energies in eV/atom: -0.375
# Theoretical density in g/cm³: 5.64
# VASP energy in eV per atom: -7.000

7.
# ZrCo2Si PBE relaxed
data_ZrCo2Si
_chemical_formula_sum 'Zr2 Co4 Si2'
_cell_length_a 3.3850
_cell_length_b 3.9005
_cell_length_c 8.3149
_cell_angle_alpha 90.00
_cell_angle_beta 90.00
_cell_angle_gamma 90.00
_symmetry_space_group_name_H-M 'I m m 2'
_symmetry_Int_Tables_number 44
_symmetry_space_group_name_Hall 'I 2 -2'
loop_
_atom_site_label
_atom_site_fract_x
_atom_site_fract_y
_atom_site_fract_z
_atom_site_occupancy
Zr1 0.0000 0.0000 0.0000 1
Co1 0.0000 0.0000 0.5206 1
Co2 0.0000 0.5000 0.7533 1
Si1 0.0000 0.5000 0.2362 1
# Formation energy from raw total energies in eV/atom: -0.322
# Theoretical density in g/cm³: 7.17
# VASP energy in eV per atom: -7.368

8.
# ZrCoSi2 PBE relaxed
data_ZrCoSi2
_chemical_formula_sum 'Zr4 Co4 Si8'
_cell_length_a 6.1892
_cell_length_b 3.9710
_cell_length_c 9.5142
_cell_angle_alpha 90.00
_cell_angle_beta 90.00
_cell_angle_gamma 90.00
_symmetry_space_group_name_H-M 'P n m a'
_symmetry_Int_Tables_number 62
_symmetry_space_group_name_Hall '-P 2ac 2n'
loop_
_atom_site_label
_atom_site_fract_x
_atom_site_fract_y
_atom_site_fract_z
_atom_site_occupancy
Zr1 0.2137 0.2500 0.1795 1
Co1 0.1057 0.2500 0.8854 1
Si1 0.0318 0.7500 0.3461 1
Si2 0.2248 0.7500 0.9710 1
# Formation energy from raw total energies in eV/atom: -0.692
# Theoretical density in g/cm³: 5.86
# VASP energy in eV per atom: -7.317